Entry from Alexandria via LeMat-Bulk: a relaxed Sr2InGa3 crystal (PBE-GGA).

Geometry as POSCAR:
```
Sr2InGa3
1.0
11.303 0.000 0.000
0.000 4.840 0.000
-5.527 0.000 5.656
Sr In Ga
4 2 6
Cartesian
0.000 0.000 0.000
-2.209 0.000 3.340
5.651 2.420 0.000
3.443 2.420 3.340
2.241 2.420 0.095
7.893 0.000 0.095
0.151 2.420 2.250
1.215 0.000 3.103
3.316 0.000 1.172
5.803 0.000 2.250
6.866 2.420 3.103
8.967 2.420 1.172
```

Values from the calculation:
DFT formation energy ... -0.46 eV per atom
Polymorph energy (0 for the lowest one) ... 0 meV/atom
Uncorrected energy ... -2.99 eV/atom